## ErAsO (PBE)

Data for a relaxed structure of ErAsO.

M_tot = 0.0 μB per cell
N(E_F) = 0.0483 states/eV/atom
crystal system = triclinic
raw formation energy = -5.5 eV per formula unit

Unit cell a=4.130 b=6.296 c=5.796 alpha=92.52 beta=84.04 gamma=131.23
Positions (direct):
As: 0.013 0.826 0.823
Er: 0.998 0.276 0.681
As: 0.987 0.174 0.177
Er: 0.002 0.724 0.319
O: 0.689 0.460 0.656
O: 0.311 0.540 0.344